(1)
The following is a PBE calculation of a geometry-optimized MnAgSnS4 structure, from Alexandria via LeMat-Bulk.

## Properties
Its crystal system is orthorhombic. The calculation puts the theoretical density at 4.70 Mg/m³. For the uncorrected formation energy, the calculation gives -0.401 eV/atom.

The structure in POSCAR format:
```
MnAgSnS4
1.0
7.2355 0.0000 0.0000
3.6178 6.4964 0.0527
3.6178 2.0293 6.1716
Mn Ag Sn S
2 2 2 8
Cartesian
5.4266 1.0146 3.0858
1.8089 1.0146 3.0858
7.2355 4.1924 0.7156
7.2355 4.3334 5.5086
0.0000 0.0000 0.0000
3.6178 4.2629 3.1121
10.8533 6.5261 4.4070
7.2355 6.6029 4.4631
7.2355 1.9228 1.7612
3.6178 1.9996 1.8173
5.4116 5.6260 1.7622
9.0595 5.6260 1.7622
5.4116 2.8998 4.4620
9.0595 2.8998 4.4620
```

---

(2)
The following is a PBE calculation of a geometry-optimized MnAg2SnS4 structure, from Alexandria via LeMat-Bulk.

## Properties
Its crystal system is tetragonal. Its offset from the most stable computed form is 0.007 eV per atom. The calculation puts the theoretical density at 4.50 Mg/m³. For the uncorrected formation energy, the calculation gives -0.327 eV/atom.

The structure in POSCAR format:
```
MnAg2SnS4
1.0
5.6413 0.2343 0.0000
-0.2345 5.6413 0.0000
-2.7034 -2.9378 5.9975
Mn Ag Sn S
1 2 1 4
Cartesian
0.0000 0.0000 0.0009
2.8207 0.1172 2.9995
-0.1172 2.8207 2.9995
0.0000 0.0000 5.9974
1.3674 1.4860 4.6024
1.2181 4.3046 1.3957
4.1888 1.5710 1.3957
-1.3674 -1.4860 4.6023
```

---

(3)
The following is a PBE calculation of a geometry-optimized MnAg2SnS4 structure, from Alexandria via LeMat-Bulk.

## Properties
Its crystal system is orthorhombic. Its offset from the most stable computed form is 0.000 eV per atom. The calculation puts the theoretical density at 4.49 Mg/m³. For the uncorrected formation energy, the calculation gives -0.334 eV/atom.

The structure in POSCAR format:
```
MnAg2SnS4
1.0
-2.4665 -3.2622 5.3341
6.1314 -3.6546 0.6001
2.8949 5.6435 4.7901
Mn Ag Sn S
2 4 2 8
Cartesian
0.8627 -2.8819 2.8740
5.4814 0.4158 2.7917
4.5279 -3.2872 4.4606
1.7348 0.7135 1.3810
3.1941 3.5584 3.7957
5.9635 -0.4887 6.8360
4.0496 -2.4295 0.4149
2.2797 -0.0562 5.2828
0.0330 -4.0783 4.7849
4.5485 -0.7190 4.6925
3.6165 -4.5295 6.4853
0.7790 -0.5138 3.3943
2.2428 2.3399 5.8165
5.0476 -1.7398 8.8532
3.0857 -3.5754 2.3475
1.4502 -1.2822 7.2285
```

---

(4)
The following is a PBE calculation of a geometry-optimized Mn3AgSn2S8 structure, from Alexandria via LeMat-Bulk.

## Properties
Its crystal system is trigonal. The calculation puts the theoretical density at 4.35 Mg/m³. For the uncorrected formation energy, the calculation gives -0.427 eV/atom.

The structure in POSCAR format:
```
Mn3AgSn2S8
1.0
7.2819 0.0000 0.0000
3.6409 6.3063 0.0000
3.6409 2.1021 6.3790
Mn Ag Sn S
3 1 2 8
Cartesian
7.2818 6.2472 0.0236
9.0512 3.1827 0.0236
5.5125 3.1827 0.0236
10.9228 6.3063 2.5937
3.6409 2.1021 3.8749
7.2818 4.2042 3.1010
3.6409 2.1021 1.1735
10.9228 6.3063 5.0699
5.6247 3.2474 5.0660
8.9390 3.2474 5.0660
7.2818 6.1176 5.0660
7.2819 2.2398 1.3810
5.5806 5.1864 1.3810
8.9831 5.1864 1.3810
```

---

(5)
The following is a PBE calculation of a geometry-optimized SrMnAg2S4 structure, from Alexandria via LeMat-Bulk.

## Properties
Its crystal system is orthorhombic. The calculation puts the theoretical density at 4.60 Mg/m³. For the uncorrected formation energy, the calculation gives -0.671 eV/atom.

The structure in POSCAR format:
```
SrMnAg2S4
1.0
6.9275 0.0000 0.0000
3.4637 5.0214 -0.5498
3.4637 0.0096 5.0514
Sr Mn Ag S
1 1 2 4
Cartesian
0.0000 0.0000 0.0000
3.4637 2.5155 2.2508
6.9275 3.6216 1.0147
6.9275 1.4095 3.4870
9.0318 2.6967 4.0031
4.8231 0.7540 2.2649
9.0318 2.3344 0.4986
4.8231 4.2771 2.2368
```

---

(6)
The following is a PBE calculation of a geometry-optimized TaMnAgS4 structure, from Alexandria via LeMat-Bulk.

## Properties
Its crystal system is orthorhombic. The calculation puts the theoretical density at 5.45 Mg/m³. For the uncorrected formation energy, the calculation gives -0.624 eV/atom.

The structure in POSCAR format:
```
TaMnAgS4
1.0
-6.0803 -1.2009 4.0868
4.2199 -5.7944 -2.1674
2.5371 4.3416 5.0506
Ta Mn Ag S
2 2 2 8
Cartesian
-1.7716 1.5703 4.5687
-3.0402 -0.6005 2.0434
0.3383 -1.3269 3.4850
3.3785 -0.7264 1.4416
-1.8859 -4.7717 2.5349
2.5626 2.1179 4.4350
-0.7237 -0.4654 5.5295
-0.9839 0.7327 2.3787
-3.7935 0.1778 4.2671
-1.8597 -2.4094 3.2681
2.5364 -0.2444 3.7019
1.6606 -3.3865 4.5912
4.4702 -2.8316 2.7028
1.4004 -2.1884 1.4404
```

---

(7)
The following is a PBE calculation of a geometry-optimized Ta2MnAg2S6 structure, from Alexandria via LeMat-Bulk.

## Properties
Its crystal system is monoclinic. The calculation puts the theoretical density at 6.15 Mg/m³. For the uncorrected formation energy, the calculation gives -0.623 eV/atom.

The structure in POSCAR format:
```
Ta2MnAg2S6
1.0
5.9015 -0.2121 0.6428
-3.1013 5.0255 0.6428
-0.2731 -0.4694 7.5504
Ta Mn Ag S
2 1 2 6
Cartesian
0.0398 2.8840 4.4181
2.4874 1.4600 4.4181
-0.1365 -0.2347 3.7752
4.5014 0.6024 0.6428
-1.7012 4.2109 0.6428
1.6125 2.7716 6.2470
4.5384 0.8695 5.9278
0.9147 1.5723 2.5891
-1.4873 4.3751 5.9278
-2.0112 3.4745 2.9083
4.0145 -0.0311 2.9083
```

---

(8)
The following is a PBE calculation of a geometry-optimized Tb3MnAg4S8 structure, from Alexandria via LeMat-Bulk.

## Properties
Its crystal system is monoclinic. The calculation puts the theoretical density at 5.70 Mg/m³. For the uncorrected formation energy, the calculation gives -1.024 eV/atom.

The structure in POSCAR format:
```
Tb3MnAg4S8
1.0
7.8221 0.0000 0.0000
0.0000 8.8096 -0.2698
-3.9111 -4.5659 5.2930
Tb Mn Ag S
3 1 4 8
Cartesian
3.9111 4.4048 -0.1349
1.9555 2.1219 2.5116
-1.9555 2.1219 2.5116
0.0000 4.4048 -0.1349
3.9111 0.0000 0.0000
1.9555 -2.2829 2.6465
0.0000 0.0000 0.0000
-1.9555 -2.2829 2.6465
1.7119 6.1110 -0.0570
0.0000 4.0313 2.6421
0.0000 0.2005 2.4615
6.1103 6.1110 -0.0570
-2.1992 -1.8673 5.0802
3.9111 4.0433 2.5617
3.9111 0.2125 2.3811
2.1992 -1.8673 5.0802
```

---

(9)
The following is a PBE calculation of a geometry-optimized Tb3MnAg3S8 structure, from Alexandria via LeMat-Bulk.

## Properties
Its crystal system is monoclinic. The calculation puts the theoretical density at 5.49 Mg/m³. For the uncorrected formation energy, the calculation gives -1.072 eV/atom.

The structure in POSCAR format:
```
Tb3MnAg3S8
1.0
7.8288 0.0000 0.0000
-3.9144 6.7780 -0.0431
0.0000 -4.5162 6.3715
Tb Mn Ag S
3 1 3 8
Cartesian
3.9144 -2.2581 3.1857
1.9572 1.1309 3.1642
-1.9572 1.1309 3.1642
0.0000 -2.2581 3.1857
0.0000 0.0000 0.0000
-1.9572 3.3890 -0.0215
1.9572 3.3890 -0.0215
0.0000 2.2512 1.6474
3.9144 0.0107 4.6810
3.9144 2.5238 1.7702
0.0000 -0.2620 4.5581
2.1932 5.5047 1.7502
1.7212 -3.2428 4.5782
-2.1932 5.5047 1.7502
6.1076 -3.2428 4.5782
```

---

(10)
The following is a PBE calculation of a geometry-optimized Ti2MnAg2S6 structure, from Alexandria via LeMat-Bulk.

## Properties
Its crystal system is monoclinic. The calculation puts the theoretical density at 4.16 Mg/m³. For the uncorrected formation energy, the calculation gives -0.794 eV/atom.

The structure in POSCAR format:
```
Ti2MnAg2S6
1.0
-2.8554 -4.7385 -2.0190
5.6010 -0.3905 1.7776
-1.7680 -2.5877 6.9016
Ti Mn Ag S
2 1 2 6
Cartesian
1.8069 -3.1806 3.9219
-0.8294 -4.5361 2.7383
-0.8840 -1.2938 3.4508
-1.5571 -4.0710 -1.4361
4.3026 -1.0581 1.1947
0.5344 -5.0782 4.6253
-2.3692 -6.4174 3.2877
0.4431 -2.6386 2.0349
3.3510 -3.4762 5.8559
3.3468 -1.2994 3.3725
-2.3735 -4.2406 0.8043
```

---

(11)
The following is a PBE calculation of a geometry-optimized TiMn3Ag3S8 structure, from Alexandria via LeMat-Bulk.

## Properties
Its crystal system is monoclinic. The calculation puts the theoretical density at 4.74 Mg/m³. For the uncorrected formation energy, the calculation gives -0.514 eV/atom.

The structure in POSCAR format:
```
TiMn3Ag3S8
1.0
7.0405 0.0000 0.0000
-3.5202 6.1127 -0.0544
0.0000 -4.0837 6.4928
Ti Mn Ag S
1 3 3 8
Cartesian
0.0000 -2.0419 3.2464
3.5202 -2.0419 3.2464
1.7601 1.0145 3.2192
-1.7601 1.0145 3.2192
0.0000 0.0000 0.0000
-1.7601 3.0564 -0.0272
1.7601 3.0564 -0.0272
0.0000 2.0085 1.7710
3.5202 0.0205 4.6674
3.5202 2.0027 1.8629
0.0000 0.0263 4.5755
5.2628 -1.0312 1.8867
-1.7425 3.0602 4.5517
1.7777 -1.0312 1.8867
1.7425 3.0602 4.5517
```

---

(12)
The following is a PBE calculation of a geometry-optimized MnTlAg2S structure, from Alexandria via LeMat-Bulk.

## Properties
Its crystal system is tetragonal. The calculation puts the theoretical density at 5.96 Mg/m³. For the uncorrected formation energy, the calculation gives 1.078 eV/atom.

The structure in POSCAR format:
```
MnTlAg2S
1.0
-5.0621 -0.7600 1.0845
0.7160 -5.1090 -0.2380
1.1079 -0.0829 5.1131
Tl Mn S Ag
1 1 1 2
Cartesian
0.0000 0.0000 0.0000
0.3580 -2.5545 -0.1190
-1.6191 -2.9759 2.9798
0.5540 -0.0414 2.5566
-2.5310 -0.3800 0.5423
```

---

| no. | VASP energy (eV for the cell shown) |
| --- | --- |
| 1 | -70.7 |
| 2 | -38.0 |
| 3 | -76.1 |
| 4 | -77.4 |
| 5 | -38.4 |
| 6 | -89.5 |
| 7 | -70.2 |
| 8 | -83.9 |
| 9 | -80.7 |
| 10 | -64.2 |
| 11 | -84.7 |
| 12 | -16.0 |